1.
This record from Alexandria describes a geometry-optimized Nd2Dy2Ho structure. The functional is GGA-PBE.

The calculation puts the calculated volume at 664.90 Å³ per cell. The density is 7.8 Mg/m³. Its energy above the most stable polymorph in this dataset is 0 meV/atom. The calculation puts the total energy at -4.643 eV/atom. Its density of states at the Fermi level is 1.735 states/eV/atom. The calculation puts the energy of formation from the pure elements at 0.021 eV/atom.

The space group is C2/c (No. 15) and the conventional cell measures 15.880, 6.335 and 6.812 Å, with angles of 90.00, 104.02 and 90.00 degrees. Symmetry generates all atoms from Nd at (0.199, 0.086, 0.152), Dy at (0.097, 0.417, 0.452) and Ho at (0.000, 0.084, 0.750).

---

2.
This record from Alexandria describes a geometry-optimized SrAc3Pb3 structure. The functional is GGA-PBE.

The calculation puts the calculated volume at 1827.21 Å³ per cell. The density is 7.6 Mg/m³. The calculation puts the total energy at -4.005 eV/atom. Its density of states at the Fermi level is 1.003 states/eV/atom. The calculation puts the energy of formation from the pure elements at -0.415 eV/atom.

The space group is R-3 (No. 148, hexagonal axes) and the conventional cell measures 10.1744, 10.1744 and 20.3817 Å, with angles of 90.00, 90.00 and 120.00 degrees. Symmetry generates all atoms from Sr at (0.0000, 0.0000, 0.1690), Ac at (0.0056, 0.2950, 0.5902) and Pb at (0.0039, 0.3678, 0.4240).

---

3.
This record from Alexandria describes a geometry-optimized Ca4Sn3Au structure. The functional is GGA-PBE.

The calculation puts the calculated volume at 236.69 Å³ per cell. The density is 5.0 Mg/m³. Its energy above the most stable polymorph in this dataset is 23 meV/atom. The calculation puts the total energy at -3.560 eV/atom. Its density of states at the Fermi level is 0.688 states/eV/atom. The calculation puts the energy of formation from the pure elements at -0.648 eV/atom.

The space group is Pmm2 (No. 25) and the conventional cell measures 4.490, 4.591 and 11.483 Å, with angles of 90.00, 90.00 and 90.00 degrees. Symmetry generates all atoms from Ca at (0.000, 0.000, 0.000), Ca at (0.000, 0.500, 0.478), Ca at (0.500, 0.000, 0.709), Ca at (0.500, 0.500, 0.214), Sn at (0.000, 0.500, 0.767), Sn at (0.500, 0.000, 0.426), Sn at (0.500, 0.500, 0.931) and Au at (0.000, 0.000, 0.269).

---

4.
This record from Alexandria describes a geometry-optimized ScTi2Ni9 structure. The functional is GGA-PBE.

The calculation puts the calculated volume at 144.75 Å³ per cell. The density is 7.7 Mg/m³. Its energy above the most stable polymorph in this dataset is 0 meV/atom. The calculation puts the total energy at -6.648 eV/atom. Its density of states at the Fermi level is 0.566 states/eV/atom. The calculation puts the energy of formation from the pure elements at -0.468 eV/atom.

The space group is P4/mmm (No. 123) and the conventional cell measures 3.640, 3.640 and 10.925 Å, with angles of 90.00, 90.00 and 90.00 degrees. Symmetry generates all atoms from Sc at (0.000, 0.000, 0.000), Ti at (0.000, 0.000, 0.334), Ni at (0.000, 0.500, 0.175), Ni at (0.000, 0.500, 0.500), Ni at (0.500, 0.500, 0.000) and Ni at (0.500, 0.500, 0.337).

---

5.
This record from Alexandria describes a geometry-optimized Ti2FeIrN structure. The functional is GGA-PBE.

The calculation puts the calculated volume at 62.78 Å³ per cell. The density is 9.5 Mg/m³. The uncorrected formation energy comes out at -19.51 kcal/mol of atoms. The calculation puts the total energy at -9.134 eV/atom. Its density of states at the Fermi level is 0.848 states/eV/atom.

The space group is P4/mmm (No. 123) and the conventional cell measures 4.124, 4.124 and 3.692 Å, with angles of 90.00, 90.00 and 90.00 degrees. Symmetry generates all atoms from Ti at (0.000, 0.500, 0.000), Fe at (0.000, 0.000, 0.500), Ir at (0.500, 0.500, 0.500) and N at (0.000, 0.000, 0.000).

---

6.
This record from Alexandria describes a geometry-optimized AcPuRh structure. The functional is GGA-PBE.

The calculation puts the calculated volume at 534.36 Å³ per cell. The density is 10.7 Mg/m³. Its energy above the most stable polymorph in this dataset is 35 meV/atom. The calculation puts the total energy at -8.950 eV/atom. Its density of states at the Fermi level is 2.210 states/eV/atom. The calculation puts the energy of formation from the pure elements at -0.353 eV/atom.

The space group is R-3m (No. 166, hexagonal axes) and the conventional cell measures 4.4874, 4.4874 and 30.6420 Å, with angles of 90.00, 90.00 and 120.00 degrees. Symmetry generates all atoms from Ac at (0.0000, 0.0000, 0.2213), Pu at (0.0000, 0.0000, 0.3567) and Rh at (0.0000, 0.0000, 0.0583).

---

7.
This record from Alexandria describes a geometry-optimized Nb4SeS5 structure. The functional is GGA-PBE.

The calculation puts the calculated volume at 407.28 Å³ per cell. The density is 5.0 Mg/m³. The uncorrected formation energy comes out at -18.87 kcal/mol of atoms. The calculation puts the total energy at -7.258 eV/atom. Its density of states at the Fermi level is 0.825 states/eV/atom.

The space group is C2/m (No. 12) and the conventional cell measures 15.650, 3.477 and 7.579 Å, with angles of 90.00, 99.08 and 90.00 degrees. Symmetry generates all atoms from Nb at (0.002, 0.000, 0.289), Nb at (0.184, 0.500, 0.057), Se at (0.000, 0.500, 0.000), S at (0.000, 0.500, 0.500), S at (0.158, 0.000, 0.291) and S at (0.162, 0.000, 0.813).

---

8.
This record from Alexandria describes a geometry-optimized Zr2NbSi structure. The functional is GGA-PBE.

The calculation puts the calculated volume at 328.44 Å³ per cell. The density is 6.1 Mg/m³. The uncorrected formation energy comes out at 3.62 kcal/mol of atoms. The calculation puts the total energy at -7.990 eV/atom. Its density of states at the Fermi level is 0.971 states/eV/atom.

The space group is I-42d (No. 122) and the conventional cell measures 7.832, 7.832 and 5.355 Å, with angles of 90.00, 90.00 and 90.00 degrees. Symmetry generates all atoms from Zr at (0.215, 0.750, 0.125), Nb at (0.000, 0.000, 0.500) and Si at (0.000, 0.000, 0.000).